Density functional theory data (PBE) for AcEr2Tl after structural relaxation.

```
4
Lattice="5.336 0.000 0.000 2.668 4.621 0.000 2.668 1.540 5.407" Properties=species:S:1:pos:R:3 pbc="T T T"
Ac 5.336 3.081 2.704
Tl 0.000 0.000 0.000
Er 2.668 1.540 0.915
Er 8.004 4.621 4.492
```

Summary:
The magnetization comes out at 0.0 μB/f.u. The calculation puts the formation energy from the elements at 0.080 eV per atom. The energy above the most stable polymorph in this dataset is 0.218 eV/atom. The space group is No. 166.

---

Density functional theory data (PBE) for Ac3ErTl2 after structural relaxation.

```
12
Lattice="7.123 0.000 0.000 0.000 7.101 0.000 -3.561 -3.550 8.740" Properties=species:S:1:pos:R:3 pbc="T T T"
Ac 1.781 3.550 3.102
Ac 1.780 0.000 5.639
Ac -1.780 3.550 5.639
Ac 5.341 0.000 3.102
Ac 3.561 5.325 0.000
Ac 3.561 1.775 0.000
Er 0.000 1.775 0.000
Er 0.000 5.325 0.000
Tl 1.632 0.000 2.251
Tl 1.929 3.550 6.489
Tl -1.929 0.000 6.489
Tl 5.491 3.550 2.251
```

Summary:
The magnetization comes out at 0.9 μB/f.u. The calculation puts the formation energy from the elements at -0.207 eV per atom. The space group is No. 72.

---

Density functional theory data (PBE) for AcErTl4 after structural relaxation.

```
6
Lattice="-4.157 -2.465 -1.873 0.591 -3.834 -3.438 0.432 -5.173 5.839" Properties=species:S:1:pos:R:3 pbc="T T T"
Ac -0.171 -8.647 2.788
Er -0.387 -6.061 -0.131
Tl -2.237 -3.498 0.600
Tl -2.044 -5.795 3.194
Tl -3.286 -7.255 0.702
Tl -3.479 -4.958 -1.891
```

Summary:
The magnetization comes out at 0.0 μB/f.u. The calculation puts the formation energy from the elements at -0.244 eV per atom. The energy above the most stable polymorph in this dataset is 0.000 eV/atom. The space group is No. 164.

---

Density functional theory data (PBE) for Ac3Er2Tl3 after structural relaxation.

```
8
Lattice="3.998 0.000 0.000 0.000 5.753 0.000 -1.999 -2.877 11.923" Properties=species:S:1:pos:R:3 pbc="T T T"
Ac 1.999 2.877 2.991
Ac 0.000 0.000 8.933
Ac 1.999 0.000 0.000
Er 1.999 0.000 5.634
Er 0.000 2.877 6.290
Tl 0.000 0.000 3.125
Tl 0.000 2.877 0.000
Tl 1.999 2.877 8.798
```

Summary:
The magnetization comes out at 0.0 μB/f.u. The calculation puts the formation energy from the elements at -0.238 eV per atom. The space group is No. 71.

---

Density functional theory data (PBE) for Ac5ErTl4 after structural relaxation.

```
10
Lattice="3.969 0.000 0.000 0.000 3.969 0.000 0.000 0.000 22.872" Properties=species:S:1:pos:R:3 pbc="T T T"
Ac 1.985 1.985 2.474
Ac 1.985 1.985 6.924
Ac 1.985 1.985 11.436
Ac 1.985 1.985 15.948
Ac 1.985 1.985 20.398
Er 0.000 0.000 0.000
Tl 0.000 0.000 4.691
Tl 0.000 0.000 9.170
Tl 0.000 0.000 13.701
Tl 0.000 0.000 18.181
```

Summary:
The magnetization comes out at 0.0 μB/f.u. The calculation puts the formation energy from the elements at -0.253 eV per atom. The space group is No. 123.

---

Density functional theory data (PBE) for Ac2ErTl4 after structural relaxation.

```
14
Lattice="-2.490 -2.583 5.472 5.755 1.108 3.142 -1.808 10.997 -0.567" Properties=species:S:1:pos:R:3 pbc="T T T"
Ac 2.639 -0.873 6.030
Ac -1.182 10.395 2.017
Ac -0.030 4.147 2.111
Ac 1.487 5.375 5.936
Er 3.291 2.318 3.709
Er -1.834 7.204 4.337
Tl 0.580 1.938 5.147
Tl 2.490 10.427 2.317
Tl -1.033 -0.905 5.729
Tl -2.179 1.407 3.641
Tl -1.739 4.251 5.205
Tl 3.636 8.115 4.406
Tl 0.878 7.584 2.900
Tl 3.196 5.271 2.841
```

Summary:
The magnetization comes out at 0.0 μB/f.u. The calculation puts the formation energy from the elements at -0.269 eV per atom. The energy above the most stable polymorph in this dataset is 0.000 eV/atom. The space group is No. 11.